VASP calculation (GGA-PBE) on a relaxed Th3Ag2Sn4 crystal.

abc: 4.8178 6.2716 9.3267
angles: 112.07 90.00 112.59
Atoms (fractional coordinates):
Th 0.6402 0.2803 0.6818
Th 0.0000 0.0000 0.0000
Th 0.3598 0.7197 0.3182
Ag 0.6650 0.3300 0.3269
Ag 0.3350 0.6700 0.6731
Sn 0.7097 0.4194 0.0590
Sn 0.2903 0.5806 0.9410
Sn 0.9165 0.8330 0.6009
Sn 0.0835 0.1670 0.3991

## Properties
- E_form (eV per atom) = -0.397
- raw total energy (eV per cell) = -47.55
- SG = C2/m, No. 12
- total magnetization (μB/cell) = 0.0